Record 1
DFT (GGA-PBE) results for a relaxed Sc2SbMoPt crystal.

Structure (POSCAR):
```
Sc2SbMoPt
1.0
-3.726 -0.447 -3.390
1.839 -4.172 -1.470
-2.815 -2.445 3.417
Sc Sb Mo Pt
2 1 1 1
direct
0.000 0.000 0.500
0.500 0.000 0.000
0.500 0.500 0.500
0.000 0.000 0.000
0.000 0.500 0.000
```

Results
Raw formation energy = 357 meV per atom
Uncorrected energy = -6.37 eV per atom



Record 2
DFT (GGA-PBE) results for a relaxed TaSbMoPt2 crystal.

Structure (POSCAR):
```
TaSbMoPt2
1.0
-3.341 -0.534 3.379
-2.756 -2.587 -3.134
2.121 -4.029 1.460
Sb Mo Pt Ta
1 1 2 1
direct
0.000 0.000 0.000
0.000 0.500 0.000
0.000 0.000 0.500
0.500 0.000 0.000
0.500 0.500 0.500
```

Results
Raw formation energy = 1490 meV per atom
Uncorrected energy = -6.29 eV per atom



Record 3
DFT (GGA-PBE) results for a relaxed Sb2TeMoPt crystal.

Structure (POSCAR):
```
Sb2TeMoPt
1.0
5.162 0.000 0.000
0.000 5.162 0.000
0.000 0.000 5.433
Sb Mo Te Pt
2 1 1 1
direct
0.000 0.500 0.000
0.500 0.000 0.000
0.500 0.500 0.500
0.000 0.000 0.500
0.000 0.000 0.000
```

Results
Energy relative to the lowest polymorph listed for this composition = 175 meV/atom
Raw formation energy = 965 meV per atom
Uncorrected energy = -4.69 eV per atom